VASP calculation (PBEsol) on YFeSb2 after structural relaxation.

Output
ΔE_f (raw) in kJ/mol of atoms: -13.12

Cell lengths 3.1644, 3.1644, 8.7979 Å; angles 90.00, 90.00, 90.00 degrees
Last column: nearest neighbours and their distance in Å.
Sites, in units of the cell vectors:
Y  0.0000  0.0000  0.0000  4 Fe 2.90, 4 Y 3.16, 1 Sb 3.22
Fe  0.5000  0.5000  0.2099  4 Sb 2.62, 4 Y 2.90
Sb  0.0000  0.0000  0.3655  4 Fe 2.62
Sb  0.5000  0.5000  0.7221  4 Sb 3.16, 4 Y 3.31

VASP calculation (PBEsol) on CoTcIr2 after structural relaxation.

Output
Formation enthalpy at 0 K in eV per atom: -0.098

Cell lengths 2.6891, 4.2070, 4.6357 Å; angles 90.00, 90.00, 90.00 degrees
Last column: nearest neighbours and their distance in Å.
Sites, in units of the cell vectors:
Co  0.0000  0.0000  0.0000  2 Tc 2.58, 8 Ir 2.60-2.69, 2 Co 2.69
Tc  0.0000  0.5000  0.3237  2 Co 2.58, 8 Ir 2.59-2.77, 2 Tc 2.69
Ir  0.5000  0.0000  0.4985  4 Tc 2.62, 4 Ir 2.65-2.69, 4 Co 2.67-2.69
Ir  0.5000  0.5000  0.8457  4 Tc 2.59-2.77, 4 Co 2.60, 4 Ir 2.65-2.69

VASP calculation (PBEsol) on RbNb2CoSn after structural relaxation.

Output
Formation enthalpy at 0 K in eV per atom: 0.996

Cell lengths 4.8055, 4.8055, 4.8725 Å; angles 90.00, 90.00, 90.00 degrees
Last column: nearest neighbours and their distance in Å.
Sites, in units of the cell vectors:
Rb  0.0000  0.0000  0.0000  4 Sn 3.40, 8 Nb 3.42
Nb  0.0000  0.5000  0.5000  2 Co 2.40
Nb  0.5000  0.0000  0.5000  2 Co 2.40
Co  0.5000  0.5000  0.5000  4 Nb 2.40, 2 Sn 2.44
Sn  0.5000  0.5000  0.0000  2 Co 2.44

VASP calculation (PBEsol) on Cu3Pt2 after structural relaxation.

Output
Formation enthalpy at 0 K in eV per atom: -0.097

Cell lengths 4.5404, 5.3234, 5.8957 Å; angles 103.36, 96.69, 107.15 degrees
Last column: nearest neighbours and their distance in Å.
Sites, in units of the cell vectors:
Cu  0.0000  0.0000  0.0000  6 Cu 2.58-2.69, 6 Pt 2.61-2.71
Cu  0.0034  0.5064  0.9974  7 Cu 2.56-2.69, 5 Pt 2.59-2.71
Cu  0.1983  0.8931  0.3865  7 Cu 2.56-2.74, 5 Pt 2.59-2.70
Cu  0.2026  0.4090  0.3896  7 Cu 2.59-2.74, 5 Pt 2.60-2.68
Cu  0.6031  0.7036  0.1925  7 Cu 2.58-2.64, 5 Pt 2.59-2.70
Cu  0.8007  0.6037  0.5904  6 Pt 2.58-2.71, 6 Cu 2.61-2.69
Pt  0.3905  0.7973  0.7926  8 Cu 2.59-2.68, 4 Pt 2.63-2.70
Pt  0.4031  0.3063  0.7942  7 Cu 2.62-2.70, 5 Pt 2.63-2.69
Pt  0.6048  0.2123  0.1983  9 Cu 2.58-2.70, 3 Pt 2.63-2.70
Pt  0.8068  0.0954  0.5854  8 Cu 2.59-2.71, 4 Pt 2.63-2.69

VASP calculation (PBEsol) on Nb2MoRu after structural relaxation.

Output
Formation enthalpy at 0 K in eV per atom: -0.205

Cell lengths 4.4829, 4.4829, 4.4829 Å; angles 60.00, 60.00, 60.00 degrees
Last column: nearest neighbours and their distance in Å.
Sites, in units of the cell vectors:
Nb  0.2500  0.2500  0.2500  4 Ru 2.75, 4 Mo 2.75
Nb  0.7500  0.7500  0.7500  4 Ru 2.75, 4 Mo 2.75
Mo  0.0000  0.0000  0.0000  8 Nb 2.75
Ru  0.5000  0.5000  0.5000  8 Nb 2.75

VASP calculation (PBEsol) on Zr2ReTc after structural relaxation.

Output
Formation enthalpy at 0 K in eV per atom: -0.064

Cell lengths 3.0047, 3.0047, 8.0782 Å; angles 90.00, 90.00, 90.00 degrees
Last column: nearest neighbours and their distance in Å.
Sites, in units of the cell vectors:
Zr  0.0000  0.0000  0.0000  4 Tc 2.91, 4 Zr 3.00
Zr  0.5000  0.5000  0.3275  4 Re 2.92, 4 Zr 3.00
Re  0.0000  0.0000  0.5746  4 Tc 2.57
Tc  0.5000  0.5000  0.7544  4 Re 2.57

VASP calculation (PBEsol) on AlVO4 after structural relaxation.

Output
ΔE_f (raw) in kJ/mol of atoms: -254.38

Cell lengths 6.5421, 7.7510, 9.1403 Å; angles 96.07, 107.27, 101.52 degrees
Last column: nearest neighbours and their distance in Å.
Sites, in units of the cell vectors:
Al  0.0376  0.1927  0.4929  6 O 1.85-1.99
Al  0.2506  0.8003  0.0918  6 O 1.87-1.94
Al  0.4611  0.3828  0.7099  5 O 1.78-1.90
Al  0.5389  0.6172  0.2901  5 O 1.78-1.90
Al  0.7494  0.1997  0.9082  6 O 1.87-1.94
Al  0.9624  0.8073  0.5071  6 O 1.85-1.99
V  0.0029  0.4951  0.7550  4 O 1.65-1.79
V  0.1962  0.1017  0.8432  4 O 1.65-1.79
V  0.4831  0.1992  0.3758  4 O 1.68-1.81
V  0.5169  0.8008  0.6242  4 O 1.68-1.81
V  0.8038  0.8983  0.1568  4 O 1.65-1.79
V  0.9971  0.5049  0.2450  4 O 1.65-1.79
O  0.0421  0.2027  0.9236  1 V 1.67, 1 Al 1.87
O  0.0490  0.3508  0.3538  1 V 1.66
O  0.0499  0.0233  0.6423  1 V 1.77, 1 Al 1.85
O  0.1569  0.3681  0.6752  1 V 1.79, 2 Al 1.89-1.90
O  0.1581  0.5988  0.9318  1 V 1.65
O  0.2492  0.6353  0.2370  1 V 1.78, 2 Al 1.85-1.94
O  0.2523  0.7971  0.5320  1 V 1.68, 1 Al 1.86
O  0.2562  0.9366  0.9352  1 V 1.65
O  0.3539  0.2262  0.5236  1 V 1.81, 2 Al 1.84-1.96
O  0.3583  0.0089  0.2463  1 V 1.68
O  0.4576  0.2429  0.8620  1 V 1.79, 2 Al 1.85-1.93
O  0.4776  0.3814  0.2857  1 V 1.71, 1 Al 1.78
O  0.5224  0.6186  0.7143  1 V 1.71, 1 Al 1.78
O  0.5424  0.7571  0.1380  1 V 1.79, 2 Al 1.85-1.93
O  0.6417  0.9911  0.7537  1 V 1.68
O  0.6461  0.7738  0.4764  1 V 1.81, 2 Al 1.84-1.96
O  0.7438  0.0634  0.0648  1 V 1.65
O  0.7477  0.2029  0.4680  1 V 1.68, 1 Al 1.86
O  0.7508  0.3647  0.7630  1 V 1.78, 2 Al 1.85-1.94
O  0.8419  0.4012  0.0682  1 V 1.65
O  0.8431  0.6319  0.3248  1 V 1.79, 2 Al 1.89-1.90
O  0.9501  0.9767  0.3577  1 V 1.77, 1 Al 1.85
O  0.9510  0.6492  0.6462  1 V 1.66
O  0.9579  0.7973  0.0764  1 V 1.67, 1 Al 1.87

VASP calculation (PBEsol) on LaZnAs2 after structural relaxation.

Output
Formation enthalpy at 0 K in eV per atom: -0.347

Cell lengths 4.9414, 4.9414, 4.9414 Å; angles 60.00, 60.00, 60.00 degrees
Last column: nearest neighbours and their distance in Å.
Sites, in units of the cell vectors:
La  0.0000  0.0000  0.0000  4 As 3.03, 4 Zn 3.03
Zn  0.7500  0.7500  0.7500  4 As 3.03, 4 La 3.03
As  0.2500  0.2500  0.2500  4 As 3.03, 4 La 3.03
As  0.5000  0.5000  0.5000  4 Zn 3.03, 4 As 3.03

VASP calculation (PBEsol) on Bi12AsO20 after structural relaxation.

Output
ΔE_f (raw) in kJ/mol of atoms: -119.14

Cell lengths 8.8070, 8.8070, 8.8070 Å; angles 109.47, 109.47, 109.47 degrees
Last column: nearest neighbours and their distance in Å.
Sites, in units of the cell vectors:
Bi  0.1506  0.3042  0.8040  3 O 2.14-2.23
Bi  0.1535  0.8494  0.6534  3 O 2.14-2.23
Bi  0.1960  0.5002  0.3466  3 O 2.14-2.23
Bi  0.3042  0.8040  0.1506  3 O 2.14-2.23
Bi  0.3466  0.1960  0.5002  3 O 2.14-2.23
Bi  0.5002  0.3466  0.1960  3 O 2.14-2.23
Bi  0.4998  0.6958  0.8465  3 O 2.14-2.23
Bi  0.6534  0.1535  0.8494  3 O 2.14-2.23
Bi  0.6958  0.8465  0.4998  3 O 2.14-2.23
Bi  0.8040  0.1506  0.3042  3 O 2.14-2.23
Bi  0.8465  0.4998  0.6958  3 O 2.14-2.23
Bi  0.8494  0.6534  0.1535  3 O 2.14-2.23
As  0.0000  0.0000  0.0000  4 O 1.72
O  0.0000  0.0000  0.1957  1 As 1.72
O  0.0000  0.0000  0.6009  3 Bi 2.23
O  0.0000  0.1957  0.0000  1 As 1.72
O  0.0000  0.6009  0.0000  3 Bi 2.23
O  0.1219  0.7595  0.3739  2 Bi 2.14-2.20
O  0.1957  0.0000  0.0000  1 As 1.72
O  0.2405  0.3625  0.6145  2 Bi 2.14-2.20
O  0.2520  0.6375  0.8781  2 Bi 2.14-2.20
O  0.3625  0.6145  0.2405  2 Bi 2.14-2.20
O  0.3739  0.1219  0.7595  2 Bi 2.14-2.20
O  0.3855  0.7480  0.6261  2 Bi 2.14-2.20
O  0.3991  0.3991  0.3991  3 Bi 2.23
O  0.6009  0.0000  0.0000  3 Bi 2.23
O  0.6145  0.2405  0.3625  2 Bi 2.14-2.20
O  0.6261  0.3855  0.7480  2 Bi 2.14-2.20
O  0.6375  0.8781  0.2520  2 Bi 2.14-2.20
O  0.7480  0.6261  0.3855  2 Bi 2.14-2.20
O  0.7595  0.3739  0.1219  2 Bi 2.14-2.20
O  0.8043  0.8043  0.8043  1 As 1.72
O  0.8781  0.2520  0.6375  2 Bi 2.14-2.20

VASP calculation (PBEsol) on CaInAg4 after structural relaxation.

Output
Formation enthalpy at 0 K in eV per atom: -0.234

Cell lengths 5.5020, 5.5020, 5.5020 Å; angles 60.00, 60.00, 60.00 degrees
Last column: nearest neighbours and their distance in Å.
Sites, in units of the cell vectors:
Ca  0.0000  0.0000  0.0000  12 Ag 3.23, 4 In 3.37
In  0.7500  0.7500  0.7500  12 Ag 3.23, 4 Ca 3.37
Ag  0.3753  0.3753  0.3753  6 Ag 2.75-2.76
Ag  0.3753  0.3753  0.8742  6 Ag 2.75-2.76
Ag  0.3753  0.8742  0.3753  6 Ag 2.75-2.76
Ag  0.8742  0.3753  0.3753  6 Ag 2.75-2.76

VASP calculation (PBEsol) on Gd3Pd2 after structural relaxation.

Output
Formation enthalpy at 0 K in eV per atom: -0.670

Cell lengths 7.7305, 7.7305, 3.9065 Å; angles 90.00, 90.00, 90.00 degrees
Last column: nearest neighbours and their distance in Å.
Sites, in units of the cell vectors:
Gd  0.0000  0.0000  0.0000  4 Pd 3.03
Gd  0.1658  0.3342  0.5000  6 Pd 2.96-3.02
Gd  0.3342  0.8342  0.5000  6 Pd 2.96-3.02
Gd  0.5000  0.5000  0.0000  4 Pd 3.03
Gd  0.6658  0.1658  0.5000  6 Pd 2.96-3.02
Gd  0.8342  0.6658  0.5000  6 Pd 2.96-3.02
Pd  0.1305  0.6305  0.0000  1 Pd 2.85, 8 Gd 2.96-3.03
Pd  0.3695  0.1305  0.0000  1 Pd 2.85, 8 Gd 2.96-3.03
Pd  0.6305  0.8695  0.0000  1 Pd 2.85, 8 Gd 2.96-3.03
Pd  0.8695  0.3695  0.0000  1 Pd 2.85, 8 Gd 2.96-3.03

VASP calculation (PBEsol) on Si2HF after structural relaxation.

Output
E_tot in eV per atom: -4.0884

Cell lengths 5.5817, 5.5817, 5.5817 Å; angles 130.56, 130.56, 72.52 degrees
Last column: nearest neighbours and their distance in Å.
Sites, in units of the cell vectors:
Si  0.0256  0.6250  0.9006  2 H 1.77
Si  0.3750  0.2756  0.4006  2 H 1.77
Si  0.7244  0.1250  0.0994  2 H 1.77
Si  0.8750  0.9744  0.5994  2 H 1.77
H  0.0000  0.0000  0.0000  4 Si 1.77
H  0.7500  0.2500  0.5000  4 Si 1.77
F  0.2500  0.7500  0.5000  4 Si 2.30
F  0.5000  0.5000  0.0000  4 Si 2.30